A plane-wave DFT calculation with PBE was carried out for a relaxed structure of SrRe2Mo.

Fermi-level density of states   1.0499 states/eV per atom
Symmetry   P4mm (99)
VASP energy   -8.658 eV per atom
V   79.8 Å³/cell
Total magnetization   0.0 μB per formula unit

Structure (extended XYZ):
```
4
Lattice="3.187 0.000 0.000 0.000 3.187 0.000 0.000 0.000 7.860" Properties=species:S:1:pos:R:3 pbc="T T T"
Sr 0.000 0.000 0.000
Re 0.000 0.000 4.030
Re 1.594 1.594 5.409
Mo 1.594 1.594 2.590
```

=====

A plane-wave DFT calculation with PBE was carried out for a relaxed structure of SrReMo.

Fermi-level density of states   0.8159 states/eV per atom
Symmetry   F-43m (216)
VASP energy   -5.604 eV per atom
V   302.1 Å³/cell
Total magnetization   0.3 μB per formula unit

Structure (extended XYZ):
```
12
Lattice="6.710 0.000 0.000 0.000 6.710 0.000 0.000 0.000 6.710" Properties=species:S:1:pos:R:3 pbc="T T T"
Sr 0.000 0.000 0.000
Sr 0.000 3.355 3.355
Sr 3.355 0.000 3.355
Sr 3.355 3.355 0.000
Re 1.677 1.677 1.677
Re 1.677 5.032 5.032
Re 5.032 1.677 5.032
Re 5.032 5.032 1.677
Mo 1.677 1.677 5.032
Mo 1.677 5.032 1.677
Mo 5.032 1.677 1.677
Mo 5.032 5.032 5.032
```